{
  "formula": "MgPPt3",
  "functional": "PBE",
  "state": "relaxed",
  "e_form_ev_per_atom": 1.08,
  "polymorph_energy_mev_per_atom": 1677,
  "total_energy_ev_per_atom": -3.94,
  "cell": [[4.606, 0.000, 0.000], [0.000, 4.606, 0.000], [0.000, 0.000, 4.606]],
  "species": ["Mg", "P", "Pt", "Pt", "Pt"],
  "frac_coords": [[0.000, 0.000, 0.000], [0.500, 0.500, 0.500], [0.000, 0.000, 0.500], [0.000, 0.500, 0.000], [0.500, 0.000, 0.000]]
}


{
  "formula": "Pu2MnTl3S6",
  "functional": "PBE",
  "state": "relaxed",
  "raw_formation_energy_mev_per_atom": -957,
  "total_energy_ev_per_atom": -6.77,
  "cell": [[3.418, -5.905, 0.000], [3.418, 5.905, 0.000], [-2.283, 0.000, 7.478]],
  "species": ["Pu", "Pu", "Mn", "Tl", "Tl", "Tl", "S", "S", "S", "S", "S", "S"],
  "frac_coords": [[0.166, 0.834, 0.000], [0.834, 0.166, 0.000], [0.500, 0.500, 0.000], [0.000, 0.000, 0.500], [0.330, 0.670, 0.500], [0.670, 0.330, 0.500], [0.117, 0.436, 0.810], [0.243, 0.243, 0.194], [0.436, 0.117, 0.810], [0.564, 0.883, 0.190], [0.757, 0.757, 0.806], [0.883, 0.564, 0.190]]
}


{
  "formula": "Ba2CaS2I2",
  "functional": "PBE",
  "state": "relaxed",
  "raw_formation_energy_mev_per_atom": -1924,
  "total_energy_ev_per_atom": -4.38,
  "cell": [[-2.669, 2.669, 8.832], [2.669, -2.669, 8.832], [2.669, 2.669, -8.832]],
  "species": ["Ba", "Ba", "Ca", "S", "S", "I", "I"],
  "frac_coords": [[0.110, 0.110, 0.000], [0.890, 0.890, 0.000], [0.500, 0.500, 0.000], [0.000, 0.500, 0.500], [0.500, 0.000, 0.500], [0.315, 0.315, 0.000], [0.685, 0.685, 0.000]]
}


{
  "formula": "NaAc5S8",
  "functional": "PBE",
  "state": "relaxed",
  "raw_formation_energy_mev_per_atom": -2091,
  "total_energy_ev_per_atom": -6.01,
  "cell": [[-4.509, 4.509, 4.519], [4.509, -4.509, 4.519], [4.509, 4.509, -4.519]],
  "species": ["Na", "Ac", "Ac", "Ac", "Ac", "Ac", "S", "S", "S", "S", "S", "S", "S", "S"],
  "frac_coords": [[0.000, 0.000, 0.000], [0.119, 0.239, 0.617], [0.250, 0.750, 0.500], [0.498, 0.881, 0.120], [0.622, 0.502, 0.383], [0.761, 0.378, 0.880], [0.026, 0.626, 0.748], [0.234, 0.490, 0.103], [0.374, 0.121, 0.400], [0.387, 0.131, 0.897], [0.510, 0.613, 0.744], [0.721, 0.974, 0.600], [0.869, 0.766, 0.256], [0.879, 0.279, 0.252]]
}